# YMn17Co PBE relaxed
# Formation enthalpy at 0 K   0.17 eV per atom
# D(E_F)   79.7 states/eV/cell
# Magnetic moment   3.52 μB per formula unit
# E   -8.746 eV/atom
# Crystal system   trigonal
data_YMn17Co
_chemical_formula_sum 'Y3 Mn51 Co3'
_cell_length_a 8.0100
_cell_length_b 8.0100
_cell_length_c 12.4505
_cell_angle_alpha 90.00
_cell_angle_beta 90.00
_cell_angle_gamma 120.00
_space_group_name_H-M_alt 'R 3 m'
_space_group_IT_number 160
_space_group_name_Hall 'R 3 -2"'
loop_
_atom_site_label
_atom_site_type_symbol
_atom_site_fract_x
_atom_site_fract_y
_atom_site_fract_z
_atom_site_occupancy
Y1 Y 0.0000 0.0000 0.0000 1
Mn1 Mn 0.0000 0.0000 0.2499 1
Mn2 Mn 0.0000 0.0000 0.4270 1
Mn3 Mn 0.0014 0.5007 0.8310 1
Mn4 Mn 0.0039 0.5020 0.4997 1
Mn5 Mn 0.0056 0.5028 0.1855 1
Mn6 Mn 0.0127 0.3668 0.0055 1
Co1 Co 0.0000 0.0000 0.7388 1



# CsSc2CdCl8 PBE relaxed
# D(E_F)   3.6 states/eV/cell
# ΔE_f (raw)   -1751 meV/atom
# Magnetic moment   1.07 μB per formula unit
# E   -4.185 eV/atom
# Crystal system   trigonal
data_CsSc2CdCl8
_chemical_formula_sum 'Cs3 Sc6 Cd3 Cl24'
_cell_length_a 6.9776
_cell_length_b 6.9776
_cell_length_c 29.4734
_cell_angle_alpha 90.00
_cell_angle_beta 90.00
_cell_angle_gamma 120.00
_space_group_name_H-M_alt 'R -3'
_space_group_IT_number 148
_space_group_name_Hall '-R 3'
loop_
_atom_site_label
_atom_site_type_symbol
_atom_site_fract_x
_atom_site_fract_y
_atom_site_fract_z
_atom_site_occupancy
Cs1 Cs 0.0000 0.0000 0.0000 1
Sc1 Sc 0.0000 0.0000 0.2486 1
Cd1 Cd 0.0000 0.0000 0.5000 1
Cl1 Cl 0.0000 0.0000 0.3279 1
Cl2 Cl 0.0006 0.3527 0.5595 1



# La3Y2Th2 PBE relaxed
# Formation enthalpy at 0 K   0.13 eV per atom
# Energy above the most stable polymorph in this dataset   0.000 eV/atom
# D(E_F)   22.4 states/eV/cell
# Magnetic moment   0.00 μB per formula unit
# E   -5.952 eV/atom
# Crystal system   monoclinic
data_La3Y2Th2
_chemical_formula_sum 'La6 Y4 Th4'
_cell_length_a 17.726
_cell_length_b 3.523
_cell_length_c 8.769
_cell_angle_alpha 90.00
_cell_angle_beta 119.58
_cell_angle_gamma 90.00
_space_group_name_H-M_alt 'C 1 2/m 1'
_space_group_IT_number 12
loop_
_space_group_symop_operation_xyz
'x,y,z'
'-x,-y,-z'
'-x,y,-z'
'x,-y,z'
'x+1/2,y+1/2,z'
'-x+1/2,-y+1/2,-z'
'-x+1/2,y+1/2,-z'
'x+1/2,-y+1/2,z'
loop_
_atom_site_label
_atom_site_type_symbol
_atom_site_fract_x
_atom_site_fract_y
_atom_site_fract_z
_atom_site_occupancy
La1 La 0.000 0.000 0.000 1
La2 La 0.217 0.000 0.148 1
Y1 Y 0.062 0.500 0.717 1
Th1 Th 0.151 0.000 0.460 1



# Ce2AuSe2N2 PBE relaxed
# D(E_F)   6.1 states/eV/cell
# ΔE_f (raw)   -1038 meV/atom
# Magnetic moment   0.00 μB per formula unit
# E   -6.576 eV/atom
# Crystal system   trigonal
data_Ce2AuSe2N2
_chemical_formula_sum 'Ce2 Au1 Se2 N2'
_cell_length_a 3.9233
_cell_length_b 3.9233
_cell_length_c 11.7872
_cell_angle_alpha 90.00
_cell_angle_beta 90.00
_cell_angle_gamma 120.00
_space_group_name_H-M_alt 'P -3 m 1'
_space_group_IT_number 164
_space_group_name_Hall '-P 3 2"'
loop_
_atom_site_label
_atom_site_type_symbol
_atom_site_fract_x
_atom_site_fract_y
_atom_site_fract_z
_atom_site_occupancy
Ce1 Ce 0.3333 0.6667 0.1218 1
Au1 Au 0.0000 0.0000 0.5000 1
Se1 Se 0.0000 0.0000 0.2973 1
N1 N 0.3333 0.6667 0.9250 1



# AuSe2Br PBE relaxed
# D(E_F)   2.6 states/eV/cell
# ΔE_f (raw)   620 meV/atom
# Magnetic moment   0.00 μB per formula unit
# E   -2.360 eV/atom
# Crystal system   tetragonal
data_AuSe2Br
_chemical_formula_sum 'Au1 Se2 Br1'
_cell_length_a 5.292
_cell_length_b 5.292
_cell_length_c 3.046
_cell_angle_alpha 90.00
_cell_angle_beta 90.00
_cell_angle_gamma 90.00
_space_group_name_H-M_alt 'P 4/m m m'
_space_group_IT_number 123
_space_group_name_Hall '-P 4 2'
loop_
_atom_site_label
_atom_site_type_symbol
_atom_site_fract_x
_atom_site_fract_y
_atom_site_fract_z
_atom_site_occupancy
Au1 Au 0.000 0.000 0.000 1
Se1 Se 0.000 0.500 0.500 1
Br1 Br 0.500 0.500 0.000 1



# MgAsOs2 PBE relaxed
# Formation enthalpy at 0 K   0.49 eV per atom
# Energy above the most stable polymorph in this dataset   0.356 eV/atom
# D(E_F)   4.6 states/eV/cell
# Magnetic moment   0.00 μB per formula unit
# E   -6.685 eV/atom
# Crystal system   orthorhombic
data_MgAsOs2
_chemical_formula_sum 'Mg1 As1 Os2'
_cell_length_a 3.038
_cell_length_b 4.394
_cell_length_c 4.626
_cell_angle_alpha 90.00
_cell_angle_beta 90.00
_cell_angle_gamma 90.00
_space_group_name_H-M_alt 'P m m m'
_space_group_IT_number 47
loop_
_space_group_symop_operation_xyz
'x,y,z'
'-x,-y,-z'
'-x,-y,z'
'x,y,-z'
'x,-y,-z'
'-x,y,z'
'-x,y,-z'
'x,-y,z'
loop_
_atom_site_label
_atom_site_type_symbol
_atom_site_fract_x
_atom_site_fract_y
_atom_site_fract_z
_atom_site_occupancy
Mg1 Mg 0.000 0.000 0.000 1
As1 As 0.500 0.000 0.500 1
Os1 Os 0.000 0.500 0.500 1
Os2 Os 0.500 0.500 0.000 1



Repeat the third record exactly.
# La3Y2Th2 PBE relaxed
# Formation enthalpy at 0 K   0.13 eV per atom
# Energy above the most stable polymorph in this dataset   0.000 eV/atom
# D(E_F)   22.4 states/eV/cell
# Magnetic moment   0.00 μB per formula unit
# E   -5.952 eV/atom
# Crystal system   monoclinic
data_La3Y2Th2
_chemical_formula_sum 'La6 Y4 Th4'
_cell_length_a 17.726
_cell_length_b 3.523
_cell_length_c 8.769
_cell_angle_alpha 90.00
_cell_angle_beta 119.58
_cell_angle_gamma 90.00
_space_group_name_H-M_alt 'C 1 2/m 1'
_space_group_IT_number 12
loop_
_space_group_symop_operation_xyz
'x,y,z'
'-x,-y,-z'
'-x,y,-z'
'x,-y,z'
'x+1/2,y+1/2,z'
'-x+1/2,-y+1/2,-z'
'-x+1/2,y+1/2,-z'
'x+1/2,-y+1/2,z'
loop_
_atom_site_label
_atom_site_type_symbol
_atom_site_fract_x
_atom_site_fract_y
_atom_site_fract_z
_atom_site_occupancy
La1 La 0.000 0.000 0.000 1
La2 La 0.217 0.000 0.148 1
Y1 Y 0.062 0.500 0.717 1
Th1 Th 0.151 0.000 0.460 1



> E of number 2 (CsSc2CdCl8)?

-4.185 eV/atom